Below is a crystal of DySi2 relaxed with PBEsol, with properties calculated at the meta-GGA SCAN level.

**VASP energy**: -23.107 eV per atom
**Calculated volume**: 18.4 Å³ per atom
**Spin magnetization**: 0.00 Bohr magnetons per cell
**DOS at the Fermi energy**: 1.8 states/eV per cell
**SG**: P6/mmm
**Density**: 6.58 g cm⁻³

Unit cell a=4.0765 b=4.0765 c=3.8367 alpha=90.00 beta=90.00 gamma=120.00
Sites, in units of the cell vectors:
Dy 0.0000 0.0000 0.0000
Si 0.3333 0.6667 0.5000
Si 0.6667 0.3333 0.5000


Below is a crystal of DyTiSi relaxed with PBEsol, with properties calculated at the meta-GGA SCAN level.

**VASP energy**: -25.287 eV per atom
**Calculated volume**: 19.8 Å³ per atom
**Spin magnetization**: 0.00 Bohr magnetons per cell
**DOS at the Fermi energy**: 6.3 states/eV per cell
**SG**: P4/nmm
**Density**: 6.66 g cm⁻³

Unit cell a=3.9860 b=3.9860 c=7.4783 alpha=90.00 beta=90.00 gamma=90.00
Sites, in units of the cell vectors:
Dy 0.2500 0.2500 0.1549
Dy 0.7500 0.7500 0.8451
Ti 0.2500 0.7500 0.5000
Ti 0.7500 0.2500 0.5000
Si 0.2500 0.2500 0.7380
Si 0.7500 0.7500 0.2620


Below is a crystal of DyZnSi relaxed with PBEsol, with properties calculated at the meta-GGA SCAN level.

**VASP energy**: -24.466 eV per atom
**Calculated volume**: 18.9 Å³ per atom
**Spin magnetization**: 0.00 Bohr magnetons per cell
**DOS at the Fermi energy**: 1.2 states/eV per cell
**SG**: P-6m2
**Density**: 7.51 g cm⁻³

Unit cell a=4.0545 b=4.0545 c=3.9754 alpha=90.00 beta=90.00 gamma=120.00
Sites, in units of the cell vectors:
Dy 0.0000 0.0000 0.0000
Zn 0.6667 0.3333 0.5000
Si 0.3333 0.6667 0.5000


Below is a crystal of Sm3Dy relaxed with PBEsol, with properties calculated at the meta-GGA SCAN level.

**Calculated volume**: 31.0 Å³ per atom
**Spin magnetization**: 0.00 Bohr magnetons per cell
**Polymorph energy (0 for the lowest one)**: 0.005 kcal/mol of atoms
**Energy of formation from the pure elements**: 12.6 meV per atom
**DOS at the Fermi energy**: 4.9 states/eV per cell
**SG**: I4/mmm
**Density**: 8.23 g cm⁻³

Unit cell a=6.1015 b=6.1015 c=6.1015 alpha=131.76 beta=131.76 gamma=70.61
Sites, in units of the cell vectors:
Sm 0.0000 0.0000 0.0000
Sm 0.2500 0.7500 0.5000
Sm 0.7500 0.2500 0.5000
Dy 0.5000 0.5000 0.0000